# PBEsol InTcPt2, optimized geometry
data_InTcPt2
_symmetry_space_group_name_H-M 'P 1'
_symmetry_Int_Tables_number 1
_cell_length_a 2.785
_cell_length_b 4.893
_cell_length_c 4.893
_cell_angle_alpha 110.64
_cell_angle_beta 90.00
_cell_angle_gamma 90.00
loop_
_symmetry_equiv_pos_as_xyz
'x,y,z'
loop_
_atom_site_label
_atom_site_type_symbol
_atom_site_fract_x
_atom_site_fract_y
_atom_site_fract_z
Pt1 Pt 0.000 0.000 0.500
Tc1 Tc 0.500 0.500 0.500
Pt2 Pt 0.000 0.500 0.000
In1 In 0.500 0.000 0.000
# DFT formation energy, meV/atom: -97
# Uncorrected energy, eV/cell: -28.6
# SG: Cmmm, No. 65